A plane-wave DFT calculation with PBE-GGA was carried out for a relaxed Cs2NiCl crystal.

The structure belongs to space group Fm-3m (No. 225); the cell edges are 8.646, 8.646 and 8.646 Å and the angles 90.00°, 90.00° and 90.00°. The asymmetric unit holds Cs at (0.250, 0.250, 0.250), Ni at (0.000, 0.000, 0.000) and Cl at (0.000, 0.000, 0.500).

Its energy above the lowest structure with this stoichiometry is 0.00 eV per formula unit.

A plane-wave DFT calculation with PBE-GGA was carried out for a relaxed CsNi4Cl8 crystal.

The structure belongs to space group R-3m (No. 166, hexagonal axes); the cell edges are 7.0779, 7.0779 and 24.9394 Å and the angles 90.00°, 90.00° and 120.00°. The asymmetric unit holds Cs at (0.0000, 0.0000, 0.0000), Ni at (0.0000, 0.0000, 0.5000), Ni at (0.0000, 0.5000, 0.5000), Cl at (0.0000, 0.0000, 0.2186) and Cl at (0.0019, 0.5010, 0.2195).

Its energy is -3.73 eV per atom.

A plane-wave DFT calculation with PBE-GGA was carried out for a relaxed Cs3NiCl5 crystal.

The structure belongs to space group I4/mcm (No. 140); the cell edges are 9.365, 9.365 and 14.889 Å and the angles 90.00°, 90.00° and 90.00°. The asymmetric unit holds Cs at (0.000, 0.000, 0.250), Cs at (0.169, 0.331, 0.000), Ni at (0.000, 0.500, 0.250), Cl at (0.000, 0.000, 0.000) and Cl at (0.131, 0.369, 0.346).

Its energy is -3.46 eV per atom.

A plane-wave DFT calculation with PBE-GGA was carried out for a relaxed CsNpNiCl6 crystal.

The structure belongs to space group P312 (No. 149); the cell edges are 6.6891, 6.6891 and 7.9125 Å and the angles 90.00°, 90.00° and 120.00°. The asymmetric unit holds Cs at (0.0000, 0.0000, 0.0000), Np at (0.3333, 0.6667, 0.5000), Ni at (0.6667, 0.3333, 0.5000) and Cl at (0.3798, 0.0226, 0.6864).

Its energy is -4.83 eV per atom.